Here is an optimized crystal structure of Ag3RhO from Alexandria via LeMat-Bulk. Energies are from GGA-PBE.

```
5
Lattice="5.047 0.000 0.000 0.000 5.047 0.000 0.000 0.000 5.047" Properties=species:S:1:pos:R:3 pbc="T T T"
Ag 0.000 0.000 2.523
Ag 0.000 2.523 0.000
Ag 2.523 0.000 0.000
Rh 0.000 0.000 0.000
O 2.523 2.523 2.523
```

calculated total energy: -0.098 hartree per atom
N(E_F): 11.028 states/eV/f.u.
energy relative to the lowest polymorph listed for this composition: 1069 meV/atom
symmetry: Pm-3m (221)
ΔE_f (raw): 1514 meV per atom
size of the total moment: 1.231 μB per formula unit